{
  "formula": "MoOsN2F",
  "functional": "PBE with a Hubbard U",
  "state": "optimized geometry",
  "cell": [[4.051, 0.000, 0.000], [0.000, 4.051, 0.000], [0.000, 0.000, 4.003]],
  "species": ["Mo", "Os", "N", "N", "F"],
  "frac_coords": [[0.000, 0.000, 0.000], [0.500, 0.500, 0.500], [0.000, 0.500, 0.000], [0.500, 0.000, 0.000], [0.000, 0.000, 0.500]],
  "sg": "P4/mmm, No. 123",
  "e_tot_ev_per_cell": -31.083,
  "total_magnetization_mub_per_fu": 4.2
}